(1)
Below is crystalline CaLa3Ir at its relaxed geometry, with properties calculated at the PBE level.

Results
ΔH_f (0 K) = 539 meV per atom
crystal system = hexagonal
offset from the most stable computed form = 889 meV per atom

Lattice parameters (Å, degrees): 4.7011 4.7011 18.7193 90.00 90.00 120.00
Space group P6_3/mmc (No. 194)
Unique sites:
Ca 0.3333 0.6667 0.2500 x2
La 0.0000 0.0000 0.2500 x2
La 0.3333 0.6667 0.0689 x4
Ir 0.0000 0.0000 0.0000 x2



(2)
Below is crystalline Li4TlPb at its relaxed geometry, with properties calculated at the PBE level.

Results
ΔH_f (0 K) = -117 meV per atom
crystal system = cubic
offset from the most stable computed form = 133 meV per atom

Lattice parameters (Å, degrees): 7.9307 7.9307 7.9307 90.00 90.00 90.00
Space group F-43m (No. 216)
Unique sites:
Li 0.1246 0.1246 0.1246 x16
Tl 0.0000 0.0000 0.5000 x4
Pb 0.2500 0.2500 0.7500 x4



(3)
Below is crystalline PmNd3Cd8 at its relaxed geometry, with properties calculated at the PBE level.

Results
ΔH_f (0 K) = -302 meV per atom
crystal system = trigonal

Lattice parameters (Å, degrees): 6.0123 6.0123 29.2927 90.00 90.00 120.00
Space group R3m (No. 160, hexagonal axes)
Unique sites:
Pm 0.0000 0.0000 0.0000 x3
Nd 0.0000 0.0000 0.1243 x3
Nd 0.0000 0.0000 0.4999 x3
Nd 0.0000 0.0000 0.6244 x3
Cd 0.0000 0.0000 0.3122 x3
Cd 0.0000 0.0000 0.8122 x3
Cd 0.9998 0.4999 0.0620 x9
Cd 0.0002 0.5001 0.5623 x9



(4)
Below is crystalline Sm3ScCd12 at its relaxed geometry, with properties calculated at the PBE level.

Results
ΔH_f (0 K) = -239 meV per atom
crystal system = tetragonal

Lattice parameters (Å, degrees): 4.6217 4.6217 18.2452 90.00 90.00 90.00
Space group P4/mmm (No. 123)
Unique sites:
Sm 0.0000 0.0000 0.0000 x1
Sm 0.0000 0.0000 0.2584 x2
Sc 0.0000 0.0000 0.5000 x1
Cd 0.0000 0.5000 0.1288 x4
Cd 0.0000 0.5000 0.3848 x4
Cd 0.5000 0.5000 0.0000 x1
Cd 0.5000 0.5000 0.2595 x2
Cd 0.5000 0.5000 0.5000 x1



(5)
Below is crystalline KSnGe2Ru at its relaxed geometry, with properties calculated at the PBE level.

Results
ΔH_f (0 K) = 2168 meV per atom
crystal system = tetragonal

Lattice parameters (Å, degrees): 5.2663 5.2663 5.6311 90.00 90.00 90.00
Space group P4/mmm (No. 123)
Unique sites:
K 0.0000 0.0000 0.0000 x1
Sn 0.0000 0.0000 0.5000 x1
Ge 0.0000 0.5000 0.0000 x2
Ru 0.5000 0.5000 0.5000 x1



(6)
Below is crystalline LuTh3Mn at its relaxed geometry, with properties calculated at the PBE level.

Results
ΔH_f (0 K) = 144 meV per atom
crystal system = cubic

Lattice parameters (Å, degrees): 5.2991 5.2991 5.2991 90.00 90.00 90.00
Space group Pm-3m (No. 221)
Unique sites:
Lu 0.0000 0.0000 0.0000 x1
Th 0.0000 0.5000 0.5000 x3
Mn 0.5000 0.5000 0.5000 x1



(7)
Below is crystalline LiAc3Pr2S6 at its relaxed geometry, with properties calculated at the PBE level.

Results
crystal system = monoclinic
E_form (uncorrected) = -1.928 eV per atom

Lattice parameters (Å, degrees): 7.2614 12.6253 7.1889 90.00 109.86 90.00
Space group C2/m (No. 12)
Unique sites:
Li 0.0000 0.0000 0.0000 x2
Ac 0.0000 0.1674 0.5000 x4
Ac 0.0000 0.5000 0.5000 x2
Pr 0.0000 0.3340 0.0000 x4
S 0.2394 0.1622 0.2327 x8
S 0.2457 0.0000 0.7673 x4



(8)
Below is crystalline NbMoI at its relaxed geometry, with properties calculated at the PBE level.

Results
crystal system = orthorhombic
E_form (uncorrected) = 0.682 eV per atom

Lattice parameters (Å, degrees): 12.8689 3.3336 5.7740 90.00 90.00 90.00
Space group Amm2 (No. 38)
Unique sites:
Nb 0.0000 0.0000 0.0000 x2
Nb 0.5000 0.0000 0.0022 x2
Mo 0.1431 0.0000 0.6667 x4
I 0.3321 0.0000 0.3356 x4



Total magnetic moment per entry: 3.76; 2.28; 0.00; 0.00; 2.36; 0.00; 0.00; 0.00 μB per cell